Here is a relaxed VSnPCl2 crystal from the Alexandria database. Energies are from PBE. Values from VASP.

## Properties
As for the crystal system: tetragonal. For the total magnetic moment, the calculation gives 3.13 μB/cell. As for the uncorrected formation energy: 0.46 eV/atom. The calculation puts the calculated volume at 137.93 Å³/cell. Its space-group type is P4/mmm, No. 123.

Quantum ESPRESSO input file:
```
&SYSTEM
  ibrav = 0, nat = 5, ntyp = 4
/
ATOMIC_SPECIES
V 50.94 V.upf
Sn 118.71 Sn.upf
P 30.97 P.upf
Cl 35.45 Cl.upf
CELL_PARAMETERS angstrom
5.140 0.000 0.000
0.000 5.140 0.000
0.000 0.000 5.221
ATOMIC_POSITIONS crystal
V 0.000 0.000 0.000
Sn 0.500 0.500 0.500
P 0.500 0.500 0.000
Cl 0.000 0.500 0.500
Cl 0.500 0.000 0.500
```